Model P:
The following is a GGA-PBEsol calculation of a geometry-optimized CsTl2In2 structure, from the Alexandria database.

a b c (Å): 3.4623 9.4954 9.4954
angles (deg): 90.00 90.00 90.00
Last column: nearest neighbours and their distance in Å.
Fractional coordinates of all 10 atoms:
Cs  0.0000  0.0000  0.0000  2 Cs 3.46, 4 Tl 3.66
Cs  0.0000  0.5000  0.5000  2 Cs 3.46, 4 Tl 3.66
Tl  0.0000  0.3584  0.8584  6 In 3.22-3.35, 2 Tl 3.46
Tl  0.0000  0.8584  0.6416  6 In 3.22-3.35, 2 Tl 3.46
Tl  0.0000  0.6416  0.1416  6 In 3.22-3.35, 2 Tl 3.46
Tl  0.0000  0.1416  0.3584  6 In 3.22-3.35, 2 Tl 3.46
In  0.5000  0.1449  0.6449  6 Tl 3.22-3.35, 2 In 3.46
In  0.5000  0.6449  0.8551  6 Tl 3.22-3.35, 2 In 3.46
In  0.5000  0.8551  0.3551  6 Tl 3.22-3.35, 2 In 3.46
In  0.5000  0.3551  0.1449  6 Tl 3.22-3.35, 2 In 3.46

***

Model Q:
The following is a GGA-PBEsol calculation of a geometry-optimized CsTl2In2 structure, from the Alexandria database.

a b c (Å): 5.0693 5.0693 7.3118
angles (deg): 110.28 110.28 90.00
Last column: nearest neighbours and their distance in Å.
Fractional coordinates of all 5 atoms:
Cs  0.0000  0.0000  0.0000  8 Tl 3.89, 8 In 4.07
Tl  0.3812  0.3812  0.7623  1 Tl 3.03, 4 In 3.04
Tl  0.6188  0.6188  0.2377  1 Tl 3.03, 4 In 3.04
In  0.2500  0.7500  0.5000  4 Tl 3.04
In  0.7500  0.2500  0.5000  4 Tl 3.04

***

Relative energies, unit kJ/mol of atoms: model P 5.3; model Q 0.0